Computed, not measured: an optimized crystal structure of GaFeO3 at the PBE+U level of DFT.

total moment = 9.97 μB per cell
final energy = -30.5 eV/f.u.
theoretical density = 4693 kg/m³
space-group type = P-6c2

Lattice parameters (Å, degrees): 5.261 5.192 5.192 120.00 90.00 90.00
Each line ends with the local moment (μB).
Fractional positions:
1 Fe 0.000 0.000 0.000  4.28
2 Fe 0.500 0.000 0.000  4.28
3 O 0.250 0.916 0.253  0.18
4 O 0.750 0.916 0.663  0.18
5 O 0.250 0.747 0.663  0.18
6 O 0.250 0.337 0.084  0.18
7 O 0.750 0.747 0.084  0.18
8 O 0.750 0.337 0.253  0.18
9 Ga 0.000 0.667 0.333  0.05
10 Ga 0.500 0.667 0.333  0.05